w.
PBE-GGA CaLa2InNi, relaxed; space group = No. 123; crystal system = tetragonal
1.0
5.3570 0.0000 0.0000
0.0000 5.3570 0.0000
0.0000 0.0000 5.4831
Ca La In Ni
1 2 1 1
direct
0.0000 0.0000 0.0000
0.0000 0.5000 0.5000
0.5000 0.0000 0.5000
0.5000 0.5000 0.0000
0.0000 0.0000 0.5000

=====

x.
PBE-GGA CaLa2InNi, relaxed; space group = No. 123; crystal system = tetragonal
1.0
5.4882 0.0000 0.0000
0.0000 5.4882 0.0000
0.0000 0.0000 5.1341
Ca La In Ni
1 2 1 1
direct
0.0000 0.0000 0.0000
0.0000 0.5000 0.5000
0.5000 0.0000 0.5000
0.5000 0.5000 0.0000
0.5000 0.5000 0.5000

=====

Among the structures shown above, w is the most stable, with the second-best lying 29 meV/atom higher.